VASP calculation (GGA-PBE) on a relaxed MnInSn2Se4 crystal.

The total energy is -4.61 eV/atom. For the total magnetization, the calculation gives 4.51 μB per formula unit. The value obtained for the formation energy without anion corrections is -0.381 eV/atom. For the calculated volume, the calculation gives 201 Å³/f.u.

The space group is P2/m (No. 10) and the conventional cell measures 7.141, 4.136 and 7.210 Å, with angles of 90.00, 108.85 and 90.00 degrees. The inequivalent atoms are Mn at (0.000, 0.000, 0.000), In at (0.000, 0.500, 0.500), Sn at (0.500, 0.000, 0.500), Sn at (0.500, 0.500, 0.000), Se at (0.225, 0.500, 0.228) and Se at (0.233, 0.000, 0.764).